(1)
CdGaC3: relaxed, GGA-PBE.

Geometry as CIF:
```
data_CdGaC3
_chemical_formula_sum 'Cd1 Ga1 C3'
_space_group_name_H-M_alt 'P m -3 m'
_space_group_IT_number 221
_space_group_name_Hall '-P 4 2 3'
_cell_length_a 4.071
_cell_length_b 4.071
_cell_length_c 4.071
_cell_angle_alpha 90.00
_cell_angle_beta 90.00
_cell_angle_gamma 90.00
loop_
_atom_site_label
_atom_site_type_symbol
_atom_site_fract_x
_atom_site_fract_y
_atom_site_fract_z
Cd1 Cd 0.000 0.000 0.000
Ga1 Ga 0.500 0.500 0.500
C1 C 0.000 0.500 0.500
```

Output
calculated volume: 13.5 A^3/atom
ΔE_f: 2567 meV per atom
magnetic moment: 0.0 μB per cell



(2)
CdGa2C: relaxed, GGA-PBE.

Geometry as CIF:
```
data_CdGa2C
_chemical_formula_sum 'Cd4 Ga8 C4'
_space_group_name_H-M_alt 'F m -3 m'
_space_group_IT_number 225
_space_group_name_Hall '-F 4 2 3'
_cell_length_a 6.499
_cell_length_b 6.499
_cell_length_c 6.499
_cell_angle_alpha 90.00
_cell_angle_beta 90.00
_cell_angle_gamma 90.00
loop_
_atom_site_label
_atom_site_type_symbol
_atom_site_fract_x
_atom_site_fract_y
_atom_site_fract_z
Cd1 Cd 0.000 0.000 0.000
Ga1 Ga 0.250 0.250 0.250
C1 C 0.000 0.000 0.500
```

Output
calculated volume: 17.2 A^3/atom
ΔE_f: 1285 meV per atom
magnetic moment: 0.0 μB per cell



(3)
Cd3GaC: relaxed, GGA-PBE.

Geometry as CIF:
```
data_Cd3GaC
_chemical_formula_sum 'Cd3 Ga1 C1'
_space_group_name_H-M_alt 'P m -3 m'
_space_group_IT_number 221
_space_group_name_Hall '-P 4 2 3'
_cell_length_a 4.674
_cell_length_b 4.674
_cell_length_c 4.674
_cell_angle_alpha 90.00
_cell_angle_beta 90.00
_cell_angle_gamma 90.00
loop_
_atom_site_label
_atom_site_type_symbol
_atom_site_fract_x
_atom_site_fract_y
_atom_site_fract_z
Cd1 Cd 0.000 0.000 0.500
Ga1 Ga 0.500 0.500 0.500
C1 C 0.000 0.000 0.000
```

Output
calculated volume: 20.4 A^3/atom
ΔE_f: 763 meV per atom
magnetic moment: 0.0 μB per cell



(4)
Cd2GaC: relaxed, GGA-PBE.

Geometry as CIF:
```
data_Cd2GaC
_chemical_formula_sum 'Cd8 Ga4 C4'
_space_group_name_H-M_alt 'I -4 2 d'
_space_group_IT_number 122
_space_group_name_Hall 'I -4 2bw'
_cell_length_a 6.067
_cell_length_b 6.067
_cell_length_c 10.531
_cell_angle_alpha 90.00
_cell_angle_beta 90.00
_cell_angle_gamma 90.00
loop_
_atom_site_label
_atom_site_type_symbol
_atom_site_fract_x
_atom_site_fract_y
_atom_site_fract_z
Cd1 Cd 0.127 0.250 0.125
Ga1 Ga 0.000 0.000 0.500
C1 C 0.000 0.000 0.000
```

Output
calculated volume: 24.2 A^3/atom
ΔE_f: 1032 meV per atom
magnetic moment: 0.0 μB per cell



(5)
CdGaC3: relaxed, GGA-PBE.

Geometry as CIF:
```
data_CdGaC3
_chemical_formula_sum 'Cd1 Ga1 C3'
_space_group_name_H-M_alt 'P m -3 m'
_space_group_IT_number 221
_space_group_name_Hall '-P 4 2 3'
_cell_length_a 4.332
_cell_length_b 4.332
_cell_length_c 4.332
_cell_angle_alpha 90.00
_cell_angle_beta 90.00
_cell_angle_gamma 90.00
loop_
_atom_site_label
_atom_site_type_symbol
_atom_site_fract_x
_atom_site_fract_y
_atom_site_fract_z
Cd1 Cd 0.000 0.000 0.000
Ga1 Ga 0.500 0.500 0.500
C1 C 0.000 0.000 0.500
```

Output
calculated volume: 16.3 A^3/atom
ΔE_f: 3256 meV per atom
magnetic moment: 1.0 μB per cell



(6)
Cd2GaGeC: relaxed, GGA-PBE.

Geometry as CIF:
```
data_Cd2GaGeC
_chemical_formula_sum 'Cd2 Ga1 Ge1 C1'
_space_group_name_H-M_alt 'P 4/m m m'
_space_group_IT_number 123
_space_group_name_Hall '-P 4 2'
_cell_length_a 5.187
_cell_length_b 5.187
_cell_length_c 5.109
_cell_angle_alpha 90.00
_cell_angle_beta 90.00
_cell_angle_gamma 90.00
loop_
_atom_site_label
_atom_site_type_symbol
_atom_site_fract_x
_atom_site_fract_y
_atom_site_fract_z
Cd1 Cd 0.000 0.500 0.000
Ga1 Ga 0.000 0.000 0.500
Ge1 Ge 0.000 0.000 0.000
C1 C 0.500 0.500 0.500
```

Output
calculated volume: 27.5 A^3/atom
ΔE_f: 1550 meV per atom
magnetic moment: 2.1 μB per cell



(7)
KCd2GaC: relaxed, GGA-PBE.

Geometry as CIF:
```
data_KCd2GaC
_chemical_formula_sum 'K1 Cd2 Ga1 C1'
_space_group_name_H-M_alt 'P 4/m m m'
_space_group_IT_number 123
_space_group_name_Hall '-P 4 2'
_cell_length_a 6.404
_cell_length_b 6.404
_cell_length_c 5.204
_cell_angle_alpha 90.00
_cell_angle_beta 90.00
_cell_angle_gamma 90.00
loop_
_atom_site_label
_atom_site_type_symbol
_atom_site_fract_x
_atom_site_fract_y
_atom_site_fract_z
K1 K 0.000 0.000 0.000
Cd1 Cd 0.000 0.500 0.000
Ga1 Ga 0.500 0.500 0.500
C1 C 0.000 0.000 0.500
```

Output
calculated volume: 42.7 A^3/atom
ΔE_f: 1673 meV per atom
magnetic moment: 2.4 μB per cell



(8)
CdGaCN2: relaxed, GGA-PBE.

Geometry as CIF:
```
data_CdGaCN2
_chemical_formula_sum 'Cd1 Ga1 C1 N2'
_space_group_name_H-M_alt 'P 4/m m m'
_space_group_IT_number 123
_space_group_name_Hall '-P 4 2'
_cell_length_a 4.036
_cell_length_b 4.036
_cell_length_c 3.952
_cell_angle_alpha 90.00
_cell_angle_beta 90.00
_cell_angle_gamma 90.00
loop_
_atom_site_label
_atom_site_type_symbol
_atom_site_fract_x
_atom_site_fract_y
_atom_site_fract_z
Cd1 Cd 0.000 0.000 0.000
Ga1 Ga 0.500 0.500 0.500
C1 C 0.500 0.500 0.000
N1 N 0.000 0.500 0.500
```

Output
E_form (uncorrected): 1910 meV/atom
calculated volume: 12.9 A^3/atom
magnetic moment: 1.6 μB per cell